# 1
VASP calculation (PBE-GGA) on an optimized crystal structure of Fe2Ni8As.

Cell lengths 3.931, 5.872, 5.872 Å; angles 104.49, 90.01, 90.01 degrees
Atoms (fractional coordinates):
Ni (0.500, 0.668, 0.668)
Ni (0.500, 0.753, 0.247)
Ni (0.500, 0.247, 0.753)
Ni (0.000, 0.964, 0.694)
Ni (0.000, 0.694, 0.964)
Ni (0.000, 0.306, 0.036)
Ni (0.000, 0.036, 0.306)
Ni (0.500, 0.332, 0.332)
Fe (0.000, 0.624, 0.376)
Fe (0.000, 0.376, 0.624)
As (0.500, 0.000, 0.000)

Values from the calculation:
Calculated formation energy: 9.2 kJ per mole of atoms
Magnetic moment: 0.7535 μB/atom
Energy above the most stable polymorph in this dataset: 0.179 eV per atom



# 2
VASP calculation (PBE-GGA) on an optimized crystal structure of FeNiAs6.

Cell lengths 7.206, 7.206, 7.195 Å; angles 109.45, 109.51, 109.51 degrees
Atoms (fractional coordinates):
Fe (0.500, 0.500, 0.500)
Fe (0.000, 0.000, 0.500)
As (0.338, 0.191, 0.844)
As (0.506, 0.844, 0.653)
As (0.850, 0.348, 0.198)
As (0.494, 0.156, 0.347)
As (0.653, 0.506, 0.844)
As (0.662, 0.809, 0.156)
As (0.150, 0.652, 0.802)
As (0.153, 0.335, 0.488)
As (0.191, 0.853, 0.347)
As (0.809, 0.147, 0.653)
As (0.847, 0.665, 0.512)
As (0.347, 0.494, 0.156)
Ni (0.500, 0.000, 0.000)
Ni (0.000, 0.500, 0.000)

Values from the calculation:
Calculated formation energy: -23.3 kJ per mole of atoms
Magnetic moment: 0.0000 μB/atom



# 3
VASP calculation (PBE-GGA) on an optimized crystal structure of Fe4NiAs.

Cell lengths 4.735, 4.735, 4.735 Å; angles 60.00, 60.00, 60.00 degrees
Atoms (fractional coordinates):
Fe (0.625, 0.625, 0.625)
Fe (0.125, 0.625, 0.625)
Fe (0.625, 0.625, 0.125)
Fe (0.625, 0.125, 0.625)
As (0.000, 0.000, 0.000)
Ni (0.250, 0.250, 0.250)

Values from the calculation:
Calculated formation energy: 25.9 kJ per mole of atoms
Magnetic moment: 1.5437 μB/atom



# 4
VASP calculation (PBE-GGA) on an optimized crystal structure of FeNiAs2.

Cell lengths 5.077, 5.077, 5.077 Å; angles 138.57, 138.57, 60.03 degrees
Atoms (fractional coordinates):
Ni (0.750, 0.250, 0.500)
Fe (0.500, 0.500, 0.000)
As (0.000, 0.000, 0.000)
As (0.250, 0.750, 0.500)

Values from the calculation:
Calculated formation energy: 15.3 kJ per mole of atoms
Magnetic moment: 0.5994 μB/atom
Energy above the most stable polymorph in this dataset: 0.217 eV per atom



# 5
VASP calculation (PBE-GGA) on an optimized crystal structure of FeNi4As.

Cell lengths 4.715, 4.715, 4.715 Å; angles 60.00, 60.00, 60.00 degrees
Atoms (fractional coordinates):
As (0.750, 0.750, 0.750)
Ni (0.374, 0.877, 0.374)
Ni (0.374, 0.374, 0.374)
Ni (0.374, 0.374, 0.877)
Ni (0.877, 0.374, 0.374)
Fe (0.000, 0.000, 0.000)

Values from the calculation:
Calculated formation energy: 17.6 kJ per mole of atoms
Magnetic moment: 0.7537 μB/atom



# 6
VASP calculation (PBE-GGA) on an optimized crystal structure of FeNiAs2.

Cell lengths 4.376, 4.376, 4.376 Å; angles 60.00, 60.00, 60.00 degrees
Atoms (fractional coordinates):
Ni (0.750, 0.750, 0.750)
As (0.250, 0.250, 0.250)
As (0.000, 0.000, 0.000)
Fe (0.500, 0.500, 0.500)

Values from the calculation:
Calculated formation energy: 39.5 kJ per mole of atoms
Magnetic moment: 0.7247 μB/atom
Energy above the most stable polymorph in this dataset: 0.467 eV per atom